# SmTmNbN3 PBE-GGA relaxed
# Magnetic moment in μB per formula unit: 0.0
# E_form (uncorrected) in eV/atom: -1.409
data_SmTmNbN3
_symmetry_space_group_name_H-M 'P 1 21/m 1'
_symmetry_Int_Tables_number 11
_cell_length_a 5.7925
_cell_length_b 3.3674
_cell_length_c 8.6067
_cell_angle_alpha 90.00
_cell_angle_beta 103.02
_cell_angle_gamma 90.00
loop_
_symmetry_equiv_pos_as_xyz
'x,y,z'
'-x,-y,-z'
'-x,y+1/2,-z'
'x,-y+1/2,z'
loop_
_atom_site_label
_atom_site_fract_x
_atom_site_fract_y
_atom_site_fract_z
Sm1 0.1518 0.2500 0.1889
Tm1 0.2689 0.7500 0.5464
Nb1 0.3658 0.2500 0.8633
N1 0.0626 0.2500 0.6739
N2 0.2566 0.7500 0.9844
N3 0.4579 0.7500 0.3334

# SrMg2AlHg4 PBE-GGA relaxed
# ΔH_f (0 K) in eV/atom: -0.24
# Magnetic moment in μB per formula unit: 0.0
data_SrMg2AlHg4
_symmetry_space_group_name_H-M 'R -3 m'
_symmetry_Int_Tables_number 166
_symmetry_space_group_name_Hall '-R 3 2"'
_cell_length_a 4.7887
_cell_length_b 4.7887
_cell_length_c 29.8639
_cell_angle_alpha 90.00
_cell_angle_beta 90.00
_cell_angle_gamma 120.00
loop_
_atom_site_label
_atom_site_fract_x
_atom_site_fract_y
_atom_site_fract_z
Sr1 0.0000 0.0000 0.0000
Mg1 0.0000 0.0000 0.2345
Al1 0.0000 0.0000 0.5000
Hg1 0.0000 0.0000 0.1279
Hg2 0.0000 0.0000 0.3967

# Li2LaMg PBE-GGA relaxed
# ΔH_f (0 K) in eV/atom: 0.26
# Magnetic moment in μB per formula unit: 0.0
data_Li2LaMg
_symmetry_space_group_name_H-M 'I -4 2 d'
_symmetry_Int_Tables_number 122
_symmetry_space_group_name_Hall 'I -4 2bw'
_cell_length_a 4.5582
_cell_length_b 4.5582
_cell_length_c 21.7267
_cell_angle_alpha 90.00
_cell_angle_beta 90.00
_cell_angle_gamma 90.00
loop_
_atom_site_label
_atom_site_fract_x
_atom_site_fract_y
_atom_site_fract_z
Li1 0.1688 0.2500 0.1250
La1 0.0000 0.0000 0.5000
Mg1 0.0000 0.0000 0.0000

# PmErOsAu PBE-GGA relaxed
# ΔH_f (0 K) in eV/atom: -0.41
# Magnetic moment in μB per formula unit: 0.0
data_PmErOsAu
_symmetry_space_group_name_H-M 'F -4 3 m'
_symmetry_Int_Tables_number 216
_symmetry_space_group_name_Hall 'F -4 2 3'
_cell_length_a 7.0569
_cell_length_b 7.0569
_cell_length_c 7.0569
_cell_angle_alpha 90.00
_cell_angle_beta 90.00
_cell_angle_gamma 90.00
loop_
_atom_site_label
_atom_site_fract_x
_atom_site_fract_y
_atom_site_fract_z
Pm1 0.0000 0.0000 0.0000
Er1 0.0000 0.0000 0.5000
Os1 0.2500 0.2500 0.2500
Au1 0.2500 0.2500 0.7500

# BaNaV PBE-GGA relaxed
# Offset from the most stable computed form in meV per atom: 114
# ΔH_f (0 K) in eV/atom: 0.60
# Magnetic moment in μB per formula unit: 0.1
data_BaNaV
_symmetry_space_group_name_H-M 'P -1'
_symmetry_Int_Tables_number 2
_cell_length_a 5.8049
_cell_length_b 6.5827
_cell_length_c 6.6784
_cell_angle_alpha 73.69
_cell_angle_beta 89.84
_cell_angle_gamma 63.88
loop_
_symmetry_equiv_pos_as_xyz
'x,y,z'
'-x,-y,-z'
loop_
_atom_site_label
_atom_site_fract_x
_atom_site_fract_y
_atom_site_fract_z
Ba1 0.1972 0.1043 0.1995
Na1 0.4711 0.5596 0.7197
V1 0.0693 0.3633 0.6113

# SnSCl2 PBE-GGA relaxed
# Offset from the most stable computed form in meV per atom: 923
# Magnetic moment in μB per formula unit: 2.1
# E_form (uncorrected) in eV/atom: 0.330
data_SnSCl2
_symmetry_space_group_name_H-M 'R -3 m'
_symmetry_Int_Tables_number 166
_symmetry_space_group_name_Hall '-R 3 2"'
_cell_length_a 3.5368
_cell_length_b 3.5368
_cell_length_c 28.5543
_cell_angle_alpha 90.00
_cell_angle_beta 90.00
_cell_angle_gamma 120.00
loop_
_atom_site_label
_atom_site_fract_x
_atom_site_fract_y
_atom_site_fract_z
Sn1 0.0000 0.0000 0.0000
S1 0.0000 0.0000 0.5000
Cl1 0.0000 0.0000 0.0881

# CsCaPuBr6 PBE-GGA relaxed
# Magnetic moment in μB per formula unit: 5.0
# E_form (uncorrected) in eV/atom: -1.784
data_CsCaPuBr6
_symmetry_space_group_name_H-M 'P -3 1 c'
_symmetry_Int_Tables_number 163
_symmetry_space_group_name_Hall '-P 3 2c'
_cell_length_a 7.6250
_cell_length_b 7.6250
_cell_length_c 15.8518
_cell_angle_alpha 90.00
_cell_angle_beta 90.00
_cell_angle_gamma 120.00
loop_
_atom_site_label
_atom_site_fract_x
_atom_site_fract_y
_atom_site_fract_z
Cs1 0.0000 0.0000 0.0000
Ca1 0.3333 0.6667 0.2500
Pu1 0.3333 0.6667 0.7500
Br1 0.0027 0.3782 0.6460

# Er2AsN PBE-GGA relaxed
# Magnetic moment in μB per formula unit: 0.0
# E_form (uncorrected) in eV/atom: -1.443
data_Er2AsN
_symmetry_space_group_name_H-M 'R -3 m'
_symmetry_Int_Tables_number 166
_symmetry_space_group_name_Hall '-R 3 2"'
_cell_length_a 3.6825
_cell_length_b 3.6825
_cell_length_c 19.0198
_cell_angle_alpha 90.00
_cell_angle_beta 90.00
_cell_angle_gamma 120.00
loop_
_atom_site_label
_atom_site_fract_x
_atom_site_fract_y
_atom_site_fract_z
Er1 0.0000 0.0000 0.2365
As1 0.0000 0.0000 0.0000
N1 0.0000 0.0000 0.5000

# Zr2AlVGa PBE-GGA relaxed
# ΔH_f (0 K) in eV/atom: 0.49
# Magnetic moment in μB per formula unit: 0.0
data_Zr2AlVGa
_symmetry_space_group_name_H-M 'P 4/m m m'
_symmetry_Int_Tables_number 123
_symmetry_space_group_name_Hall '-P 4 2'
_cell_length_a 4.8139
_cell_length_b 4.8139
_cell_length_c 4.7889
_cell_angle_alpha 90.00
_cell_angle_beta 90.00
_cell_angle_gamma 90.00
loop_
_atom_site_label
_atom_site_fract_x
_atom_site_fract_y
_atom_site_fract_z
Zr1 0.0000 0.5000 0.0000
Al1 0.0000 0.0000 0.5000
V1 0.0000 0.0000 0.0000
Ga1 0.5000 0.5000 0.5000

# Pr2EuIn PBE-GGA relaxed
# Offset from the most stable computed form in meV per atom: 0
# ΔH_f (0 K) in eV/atom: -0.24
# Magnetic moment in μB per formula unit: 7.2
data_Pr2EuIn
_symmetry_space_group_name_H-M 'P 4/m m m'
_symmetry_Int_Tables_number 123
_symmetry_space_group_name_Hall '-P 4 2'
_cell_length_a 5.1059
_cell_length_b 5.1059
_cell_length_c 4.9351
_cell_angle_alpha 90.00
_cell_angle_beta 90.00
_cell_angle_gamma 90.00
loop_
_atom_site_label
_atom_site_fract_x
_atom_site_fract_y
_atom_site_fract_z
Pr1 0.0000 0.5000 0.0000
Eu1 0.0000 0.0000 0.5000
In1 0.5000 0.5000 0.5000

# CrAuBr2 PBE-GGA relaxed
# Offset from the most stable computed form in meV per atom: 214
# Magnetic moment in μB per formula unit: 4.0
# E_form (uncorrected) in eV/atom: -0.006
data_CrAuBr2
_symmetry_space_group_name_H-M 'R -3 m'
_symmetry_Int_Tables_number 166
_symmetry_space_group_name_Hall '-R 3 2"'
_cell_length_a 3.5053
_cell_length_b 3.5053
_cell_length_c 29.6383
_cell_angle_alpha 90.00
_cell_angle_beta 90.00
_cell_angle_gamma 120.00
loop_
_atom_site_label
_atom_site_fract_x
_atom_site_fract_y
_atom_site_fract_z
Cr1 0.0000 0.0000 0.0000
Au1 0.0000 0.0000 0.5000
Br1 0.0000 0.0000 0.2786

# TaCrCl2 PBE-GGA relaxed
# Offset from the most stable computed form in meV per atom: 198
# Magnetic moment in μB per formula unit: 1.5
# E_form (uncorrected) in eV/atom: -0.198
data_TaCrCl2
_symmetry_space_group_name_H-M 'C 1 2/m 1'
_symmetry_Int_Tables_number 12
_cell_length_a 14.1095
_cell_length_b 3.1399
_cell_length_c 4.2007
_cell_angle_alpha 90.00
_cell_angle_beta 94.69
_cell_angle_gamma 90.00
loop_
_symmetry_equiv_pos_as_xyz
'x,y,z'
'-x,-y,-z'
'-x,y,-z'
'x,-y,z'
'x+1/2,y+1/2,z'
'-x+1/2,-y+1/2,-z'
'-x+1/2,y+1/2,-z'
'x+1/2,-y+1/2,z'
loop_
_atom_site_label
_atom_site_fract_x
_atom_site_fract_y
_atom_site_fract_z
Ta1 0.0000 0.0000 0.0000
Cr1 0.0000 0.5000 0.5000
Cl1 0.1358 0.5000 0.2118

| no. | DOS(E_F) (states/eV/atom) |
| --- | --- |
| 1 | 0.42 |
| 2 | 0.44 |
| 3 | 1.53 |
| 4 | 0.64 |
| 5 | 0.96 |
| 6 | 0.45 |
| 7 | 1.40 |
| 8 | 0.16 |
| 9 | 0.68 |
| 10 | 1.21 |
| 11 | 0.61 |
| 12 | 0.48 |